[1]
AcLaNd5Ho2: optimized geometry, PBE.

Cell and atoms, written as CIF:
```
data_AcLaNd5Ho2
_chemical_formula_sum 'Ac4 La4 Nd20 Ho8'
_symmetry_space_group_name_H-M 'C m c 21'
_symmetry_Int_Tables_number 36
_cell_length_a 5.675
_cell_length_b 24.169
_cell_length_c 9.628
_cell_angle_alpha 90.00
_cell_angle_beta 90.00
_cell_angle_gamma 90.00
loop_
_symmetry_equiv_pos_as_xyz
'x,y,z'
'-x,-y,z+1/2'
'-x,y,z'
'x,-y,z+1/2'
'x+1/2,y+1/2,z'
'-x+1/2,-y+1/2,z+1/2'
'-x+1/2,y+1/2,z'
'x+1/2,-y+1/2,z+1/2'
loop_
_atom_site_label
_atom_site_type_symbol
_atom_site_fract_x
_atom_site_fract_y
_atom_site_fract_z
Ac1 Ac 0.000 0.103 0.000
La1 La 0.000 0.268 0.390
Nd1 Nd 0.000 0.025 0.672
Nd2 Nd 0.000 0.103 0.390
Nd3 Nd 0.000 0.187 0.694
Nd4 Nd 0.000 0.241 0.071
Nd5 Nd 0.000 0.494 0.892
Ho1 Ho 0.000 0.329 0.757
Ho2 Ho 0.000 0.388 0.129
```

Properties
The crystal system is orthorhombic. The value obtained for the total energy is -163.07 eV per cell.

[2]
AcLa5Nd2Ho: optimized geometry, PBE.

Cell and atoms, written as CIF:
```
data_AcLa5Nd2Ho
_chemical_formula_sum 'Ac4 La20 Nd8 Ho4'
_symmetry_space_group_name_H-M 'I 4/m c m'
_symmetry_Int_Tables_number 140
_symmetry_space_group_name_Hall '-I 4 2c'
_cell_length_a 9.237
_cell_length_b 9.237
_cell_length_c 15.673
_cell_angle_alpha 90.00
_cell_angle_beta 90.00
_cell_angle_gamma 90.00
loop_
_atom_site_label
_atom_site_type_symbol
_atom_site_fract_x
_atom_site_fract_y
_atom_site_fract_z
Ac1 Ac 0.000 0.000 0.250
La1 La 0.000 0.000 0.000
La2 La 0.203 0.297 0.134
Nd1 Nd 0.116 0.384 0.500
Ho1 Ho 0.000 0.500 0.250
```

Properties
The crystal system is tetragonal. The value obtained for the total energy is -162.69 eV per cell.

[3]
AcLaHo2P4: optimized geometry, PBE.

Cell and atoms, written as CIF:
```
data_AcLaHo2P4
_chemical_formula_sum 'Ac1 La1 Ho2 P4'
_symmetry_space_group_name_H-M 'P 1 2/m 1'
_symmetry_Int_Tables_number 10
_cell_length_a 7.232
_cell_length_b 4.177
_cell_length_c 7.237
_cell_angle_alpha 90.00
_cell_angle_beta 109.43
_cell_angle_gamma 90.00
loop_
_symmetry_equiv_pos_as_xyz
'x,y,z'
'-x,-y,-z'
'-x,y,-z'
'x,-y,z'
loop_
_atom_site_label
_atom_site_type_symbol
_atom_site_fract_x
_atom_site_fract_y
_atom_site_fract_z
Ac1 Ac 0.000 0.000 0.000
La1 La 0.500 0.500 0.000
Ho1 Ho 0.000 0.500 0.500
Ho2 Ho 0.500 0.000 0.500
P1 P 0.248 0.000 0.732
P2 P 0.262 0.500 0.272
```

Properties
The crystal system is monoclinic. The value obtained for the total energy is -52.06 eV per cell.